DFT (PBE) results for an optimized crystal structure of Ba2SnMo.

Unit cell a=11.7023 b=11.7023 c=8.6965 alpha=47.72 beta=47.72 gamma=90.00
Fractional coordinates of all 8 atoms:
Ba 0.3750 0.5693 0.7500
Ba 0.4307 0.1250 0.2500
Ba 0.8750 0.6807 0.7500
Ba 0.3193 0.6250 0.2500
Mo 0.5000 0.5000 0.0000
Mo 0.2500 0.7500 0.5000
Sn 0.7500 0.2500 0.5000
Sn 0.0000 0.0000 0.0000

Summary:
total magnetization = 0.00 μB per cell
energy of formation = 49.4 kJ per mole of atoms
crystal system = tetragonal
DOS(E_F) = 1.166 states/eV/atom